The following is a PBE calculation of a geometry-optimized PrTm7Sc4 structure, from the Alexandria database.

Properties
final energy = -61.138 eV per cell
D(E_F) = 18.12 states/eV/f.u.

Geometry as POSCAR:
```
PrTm7Sc4
1.0
5.9839 0.0000 0.0000
-0.0091 6.9199 0.0000
-2.0150 -0.0081 8.2689
Pr Tm Sc
1 7 4
Direct
0.0000 0.0000 0.0000
0.0000 0.5000 0.0000
0.2248 0.0003 0.6622
0.2829 0.7431 0.3400
0.4980 0.2549 0.0039
0.5020 0.7451 0.9961
0.7171 0.2569 0.6600
0.7752 0.9997 0.3378
0.2177 0.4999 0.6598
0.2758 0.2558 0.3387
0.7242 0.7442 0.6613
0.7823 0.5001 0.3402
```